(1)
LiZn2Cu5 after structural relaxation. Source: Alexandria via LeMat-Bulk, functional PBE.

Output
Calculated formation energy   0.07 eV/atom
VASP energy   -3.05 eV per atom
Magnetization   0.000 μB per formula unit
E above lowest polymorph   168 meV/atom
Space group   Immm (71)

Unit cell a=3.620 b=5.902 c=5.902 alpha=76.76 beta=72.14 gamma=72.14
Sites, in units of the cell vectors:
Li: 0.000 0.000 0.000
Zn: 0.710 0.790 0.790
Zn: 0.290 0.210 0.210
Cu: 0.000 0.500 0.500
Cu: 0.650 0.528 0.173
Cu: 0.350 0.472 0.827
Cu: 0.350 0.827 0.472
Cu: 0.650 0.173 0.528



(2)
Li6ZnCu3 after structural relaxation. Source: Alexandria via LeMat-Bulk, functional PBE.

Output
Calculated formation energy   0.00 eV/atom
VASP energy   -2.50 eV per atom
Magnetization   0.000 μB per formula unit
Space group   R-3 (148)

Unit cell a=6.762 b=6.762 c=6.762 alpha=90.40 beta=90.40 gamma=90.40
Sites, in units of the cell vectors:
Li: 0.359 0.792 0.230
Li: 0.208 0.770 0.641
Li: 0.672 0.878 0.539
Li: 0.770 0.641 0.208
Li: 0.539 0.672 0.878
Li: 0.122 0.461 0.328
Li: 0.878 0.539 0.672
Li: 0.461 0.328 0.122
Li: 0.230 0.359 0.792
Li: 0.328 0.122 0.461
Li: 0.792 0.230 0.359
Li: 0.641 0.208 0.770
Zn: 0.000 0.000 0.000
Zn: 0.500 0.500 0.500
Cu: 0.345 0.002 0.901
Cu: 0.002 0.901 0.345
Cu: 0.099 0.655 0.998
Cu: 0.901 0.345 0.002
Cu: 0.998 0.099 0.655
Cu: 0.655 0.998 0.099



(3)
Li6Zn7Cu16 after structural relaxation. Source: Alexandria via LeMat-Bulk, functional PBE.

Output
Calculated formation energy   -0.07 eV/atom
VASP energy   -3.03 eV per atom
Magnetization   0.000 μB per formula unit
Space group   Fm-3m (225)

Unit cell a=8.386 b=8.386 c=8.386 alpha=60.00 beta=60.00 gamma=60.00
Sites, in units of the cell vectors:
Li: 0.213 0.787 0.213
Li: 0.787 0.213 0.787
Li: 0.213 0.787 0.787
Li: 0.787 0.213 0.213
Li: 0.213 0.213 0.787
Li: 0.787 0.787 0.213
Zn: 0.500 0.500 0.500
Zn: 0.500 0.000 0.500
Zn: 0.000 0.500 0.000
Zn: 0.500 0.000 0.000
Zn: 0.000 0.500 0.500
Zn: 0.500 0.500 0.000
Zn: 0.000 0.000 0.500
Cu: 0.515 0.828 0.828
Cu: 0.828 0.515 0.828
Cu: 0.828 0.828 0.828
Cu: 0.828 0.828 0.515
Cu: 0.172 0.485 0.172
Cu: 0.485 0.172 0.172
Cu: 0.172 0.172 0.172
Cu: 0.172 0.172 0.485
Cu: 0.140 0.620 0.620
Cu: 0.620 0.140 0.620
Cu: 0.620 0.620 0.620
Cu: 0.620 0.620 0.140
Cu: 0.380 0.860 0.380
Cu: 0.860 0.380 0.380
Cu: 0.380 0.380 0.380
Cu: 0.380 0.380 0.860



(4)
Li4Zn5Cu after structural relaxation. Source: Alexandria via LeMat-Bulk, functional PBE.

Output
Calculated formation energy   -0.15 eV/atom
VASP energy   -1.96 eV per atom
Magnetization   0.000 μB per formula unit
E above lowest polymorph   0 meV/atom
Space group   Pmmm (47)

Unit cell a=2.986 b=2.955 c=16.346 alpha=90.00 beta=90.00 gamma=90.00
Sites, in units of the cell vectors:
Li: 0.000 0.000 0.190
Li: 0.000 0.000 0.397
Li: 0.000 0.000 0.603
Li: 0.000 0.000 0.810
Zn: 0.500 0.500 0.090
Zn: 0.500 0.500 0.293
Zn: 0.500 0.500 0.500
Zn: 0.500 0.500 0.707
Zn: 0.500 0.500 0.910
Cu: 0.000 0.000 0.000



(5)
Li2ZnCu2 after structural relaxation. Source: Alexandria via LeMat-Bulk, functional PBE.

Output
Calculated formation energy   0.18 eV/atom
VASP energy   -2.48 eV per atom
Magnetization   0.000 μB per formula unit
E above lowest polymorph   289 meV/atom
Space group   I4/mmm (139)

Unit cell a=3.406 b=3.406 c=6.683 alpha=75.24 beta=75.24 gamma=90.00
Sites, in units of the cell vectors:
Zn: 0.000 0.000 0.000
Cu: 0.405 0.405 0.189
Cu: 0.595 0.595 0.811
Li: 0.750 0.250 0.500
Li: 0.250 0.750 0.500



(6)
Li2Zn8Cu3 after structural relaxation. Source: Alexandria via LeMat-Bulk, functional PBE.

Output
Calculated formation energy   -0.01 eV/atom
VASP energy   -2.04 eV per atom
Magnetization   0.000 μB per formula unit
Space group   C2/m (12)

Unit cell a=4.936 b=7.040 c=6.625 alpha=122.10 beta=97.50 gamma=90.00
Sites, in units of the cell vectors:
Li: 0.271 0.197 0.393
Li: 0.729 0.803 0.607
Zn: 0.905 0.597 0.195
Zn: 0.095 0.403 0.805
Zn: 0.780 0.198 0.397
Zn: 0.220 0.802 0.603
Zn: 0.559 0.570 0.769
Zn: 0.559 0.199 0.769
Zn: 0.441 0.801 0.231
Zn: 0.441 0.430 0.231
Cu: 0.500 0.000 0.000
Cu: 0.000 0.172 0.000
Cu: 0.000 0.828 0.000